A plane-wave DFT calculation with SCAN was carried out for a crystal of Sc3HPb relaxed with PBEsol.

For the spin magnetization, the calculation gives 2.18 μB/f.u. As for the electronic total energy: -24.899 eV per atom. For the relative energy among the computed polymorphs, the calculation gives 0.000 eV per atom.

It has space group Pm-3m (No. 221), with a = 4.459 Å, b = 4.459 Å, c = 4.459 Å, α = 90.00°, β = 90.00° and γ = 90.00°. Symmetry generates all atoms from Sc at (0.000, 0.000, 0.500), H at (0.000, 0.000, 0.000) and Pb at (0.500, 0.500, 0.500).